[1]
Zr2Au: PBEsol geometry, SCAN.

Geometry as POSCAR:
```
Zr2Au
1.0
-1.8973 -1.3424 2.3770
1.9372 -4.7863 -3.4816
4.6289 0.8695 4.1858
Zr Au
4 2
Direct
0.3240 0.6480 0.3837
0.9827 0.9653 0.7455
0.0173 0.0347 0.2545
0.6760 0.3520 0.6163
0.3361 0.6722 0.9278
0.6639 0.3278 0.0722
```

Properties
For the magnetic moment, the calculation gives 0.0 μB per formula unit. Its crystal system is monoclinic. For the formation energy, the calculation gives -0.49 eV per atom.


[2]
Zr2Au: PBEsol geometry, SCAN.

Geometry as POSCAR:
```
Zr2Au
1.0
-0.7897 -3.1411 0.4037
3.0458 -0.6393 0.9838
-2.6584 2.9744 4.7491
Zr Au
2 1
Direct
0.6597 0.6597 0.3194
0.3403 0.3403 0.6806
0.0000 0.0000 0.0000
```

Properties
For the magnetic moment, the calculation gives 0.0 μB per formula unit. Its crystal system is tetragonal. For the formation energy, the calculation gives -0.58 eV per atom.


[3]
ZrAu3: PBEsol geometry, SCAN.

Geometry as POSCAR:
```
ZrAu3
1.0
2.9465 0.0000 0.0000
0.0000 5.0303 -0.0524
0.0000 -1.2256 4.8790
Au Zr
3 1
Direct
0.5000 0.5000 0.0000
0.0000 0.0000 0.0000
0.5000 0.0000 0.5000
0.0000 0.5000 0.5000
```

Properties
For the magnetic moment, the calculation gives 0.0 μB per formula unit. Its crystal system is orthorhombic. For the formation energy, the calculation gives -0.30 eV per atom.